Entry 1:
A plane-wave DFT calculation with PBE was carried out for an optimized crystal structure of Zr2GeAs.

abc: 3.8723 3.8723 19.0478
angles: 90.00 90.00 120.00
Space group R-3m (No. 166, hexagonal axes)
Asymmetric unit:
Zr  0.0000  0.0000  0.2492 [6 per cell]
Ge  0.0000  0.0000  0.5000 [3 per cell]
As  0.0000  0.0000  0.0000 [3 per cell]

## Properties
Offset from the most stable computed form ... 0.000 kcal/mol of atoms
ΔH_f (0 K) ... -929 meV per atom

Entry 2:
A plane-wave DFT calculation with PBE was carried out for an optimized crystal structure of Zr5Ge2As.

abc: 7.066 7.066 12.681
angles: 90.00 90.00 90.00
Space group I4/mcm (No. 140)
Asymmetric unit:
Zr  0.000  0.000  0.000 [4 per cell]
Zr  0.162  0.338  0.151 [16 per cell]
Ge  0.136  0.364  0.500 [8 per cell]
As  0.000  0.000  0.250 [4 per cell]

## Properties
ΔH_f (0 K) ... -836 meV per atom

Entry 3:
A plane-wave DFT calculation with PBE was carried out for an optimized crystal structure of ZrGeAs.

abc: 9.657 3.680 7.055
angles: 90.00 90.48 90.00
Space group Cm (No. 8)
Asymmetric unit:
Zr  0.000  0.000  0.000 [2 per cell]
Zr  0.227  0.500  0.679 [2 per cell]
Ge  0.163  0.000  0.365 [2 per cell]
Ge  0.377  0.500  0.350 [2 per cell]
As  0.210  0.500  0.054 [2 per cell]
As  0.440  0.000  0.720 [2 per cell]

## Properties
ΔH_f (0 K) ... -464 meV per atom

Entry 4:
A plane-wave DFT calculation with PBE was carried out for an optimized crystal structure of Zr2GeAs.

abc: 6.095 6.095 12.234
angles: 90.00 90.00 90.00
Space group I-42d (No. 122)
Asymmetric unit:
Zr  0.249  0.250  0.125 [8 per cell]
Ge  0.000  0.000  0.000 [4 per cell]
As  0.000  0.000  0.500 [4 per cell]

## Properties
Offset from the most stable computed form ... 18.475 kcal/mol of atoms
ΔH_f (0 K) ... -128 meV per atom

Entry 5:
A plane-wave DFT calculation with PBE was carried out for an optimized crystal structure of Zr4GeAs.

abc: 6.635 6.635 5.479
angles: 90.00 90.00 90.00
Space group P4/mcc (No. 124)
Asymmetric unit:
Zr  0.157  0.343  0.000 [8 per cell]
Ge  0.000  0.000  0.250 [2 per cell]
As  0.500  0.500  0.250 [2 per cell]

## Properties
Offset from the most stable computed form ... 0.000 kcal/mol of atoms
ΔH_f (0 K) ... -819 meV per atom

Entry 6:
A plane-wave DFT calculation with PBE was carried out for an optimized crystal structure of Zr3GeAs5.

abc: 6.795 3.710 27.638
angles: 90.00 90.06 90.00
Space group Pm (No. 6)
Asymmetric unit:
Zr  0.000  0.000  0.000 [1 per cell]
Zr  0.000  0.000  0.332 [1 per cell]
Zr  0.455  0.500  0.224 [1 per cell]
Zr  0.455  0.500  0.558 [1 per cell]
Zr  0.455  0.500  0.892 [1 per cell]
Zr  0.500  0.000  0.056 [1 per cell]
Zr  0.500  0.000  0.389 [1 per cell]
Zr  0.500  0.000  0.723 [1 per cell]
Zr  0.955  0.500  0.830 [1 per cell]
Zr  0.958  0.500  0.165 [1 per cell]
Zr  0.958  0.500  0.498 [1 per cell]
Zr  0.999  0.000  0.665 [1 per cell]
Ge  0.356  0.500  0.126 [1 per cell]
Ge  0.357  0.500  0.459 [1 per cell]
Ge  0.358  0.500  0.793 [1 per cell]
Ge  0.858  0.500  0.929 [1 per cell]
As  0.114  0.000  0.098 [1 per cell]
As  0.115  0.000  0.431 [1 per cell]
As  0.116  0.000  0.764 [1 per cell]
As  0.133  0.000  0.895 [1 per cell]
As  0.142  0.000  0.228 [1 per cell]
As  0.142  0.000  0.561 [1 per cell]
As  0.312  0.500  0.327 [1 per cell]
As  0.312  0.500  0.660 [1 per cell]
As  0.313  0.500  0.994 [1 per cell]
As  0.607  0.000  0.292 [1 per cell]
As  0.607  0.000  0.625 [1 per cell]
As  0.616  0.000  0.958 [1 per cell]
As  0.634  0.000  0.827 [1 per cell]
As  0.635  0.000  0.160 [1 per cell]
As  0.635  0.000  0.493 [1 per cell]
As  0.812  0.500  0.728 [1 per cell]
As  0.813  0.500  0.062 [1 per cell]
As  0.813  0.500  0.395 [1 per cell]
As  0.851  0.500  0.597 [1 per cell]
As  0.852  0.500  0.264 [1 per cell]

## Properties
ΔH_f (0 K) ... -817 meV per atom

Entry 7:
A plane-wave DFT calculation with PBE was carried out for an optimized crystal structure of Zr2GeAs.

abc: 3.8146 3.8146 19.9240
angles: 90.00 90.00 120.00
Space group R3m (No. 160, hexagonal axes)
Asymmetric unit:
Zr  0.0000  0.0000  0.0000 [3 per cell]
Zr  0.0000  0.0000  0.1748 [3 per cell]
Ge  0.0000  0.0000  0.5892 [3 per cell]
As  0.0000  0.0000  0.4204 [3 per cell]

## Properties
Offset from the most stable computed form ... 1.460 kcal/mol of atoms
ΔH_f (0 K) ... -866 meV per atom

Entry 8:
A plane-wave DFT calculation with PBE was carried out for an optimized crystal structure of ZrGeAs2.

abc: 6.083 6.083 12.076
angles: 90.00 90.00 90.00
Space group I-42d (No. 122)
Asymmetric unit:
Zr  0.000  0.000  0.000 [4 per cell]
Ge  0.000  0.000  0.500 [4 per cell]
As  0.248  0.250  0.625 [8 per cell]

## Properties
ΔH_f (0 K) ... -157 meV per atom

Entry 9:
A plane-wave DFT calculation with PBE was carried out for an optimized crystal structure of ZrGeAs4.

abc: 6.695 6.407 6.300
angles: 90.00 91.85 90.00
Space group P2_1/c (No. 14)
Asymmetric unit:
Zr  0.000  0.000  0.000 [2 per cell]
Ge  0.500  0.000  0.500 [2 per cell]
As  0.126  0.102  0.604 [4 per cell]
As  0.392  0.610  0.604 [4 per cell]

## Properties
ΔH_f (0 K) ... -151 meV per atom

Entry 10:
A plane-wave DFT calculation with PBE was carried out for an optimized crystal structure of Zr2Ge2As.

abc: 7.218 7.218 3.908
angles: 90.00 90.00 90.00
Space group P4/mbm (No. 127)
Asymmetric unit:
Zr  0.178  0.322  0.000 [4 per cell]
Ge  0.123  0.623  0.500 [4 per cell]
As  0.000  0.000  0.000 [2 per cell]

## Properties
ΔH_f (0 K) ... -625 meV per atom

Entry 11:
A plane-wave DFT calculation with PBE was carried out for an optimized crystal structure of Zr4GeAs.

abc: 8.736 8.736 7.719
angles: 90.00 90.00 90.00
Space group I4_1md (No. 109)
Asymmetric unit:
Zr  0.000  0.296  0.000 [8 per cell]
Zr  0.000  0.297  0.497 [8 per cell]
Ge  0.000  0.000  0.500 [4 per cell]
As  0.000  0.000  0.997 [4 per cell]

## Properties
Offset from the most stable computed form ... 11.833 kcal/mol of atoms
ΔH_f (0 K) ... -306 meV per atom

Entry 12:
A plane-wave DFT calculation with PBE was carried out for an optimized crystal structure of AsH3.

abc: 3.664 6.365 4.351
angles: 90.00 90.00 90.00
Space group Imm2 (No. 44)
Asymmetric unit:
As  0.000  0.000  0.000 [2 per cell]
H  0.000  0.174  0.755 [4 per cell]
H  0.000  0.500  0.507 [2 per cell]

## Properties
E ... -27.71 eV for the cell shown